(1)
Computed, not measured: a geometry-optimized ReRh3 structure at the PBE level of DFT.

- polymorph energy (0 for the lowest one) (meV per atom) = 25.7
- ρ (g cm⁻³) = 14.4
- energy of formation (meV per atom) = -85

```
ReRh3
1.0
3.862 0.000 0.000
0.000 2.716 0.002
0.000 -2.707 10.898
Re Rh
2 6
direct
0.000 0.000 0.999
0.500 0.125 0.626
0.500 0.378 0.878
0.000 0.747 0.747
0.000 0.502 0.503
0.500 0.874 0.374
0.000 0.251 0.251
0.500 0.623 0.122
```



(2)
Computed, not measured: a geometry-optimized ReRu2Rh structure at the PBE level of DFT.

- polymorph energy (0 for the lowest one) (meV per atom) = 117.6
- ρ (g cm⁻³) = 14.3
- energy of formation (meV per atom) = 32

```
ReRu2Rh
1.0
3.869 0.000 0.000
0.000 2.710 0.017
0.000 2.691 5.457
Re Rh Ru
1 1 2
direct
0.500 0.250 0.250
0.500 0.750 0.750
0.000 0.997 0.003
0.000 0.503 0.497
```



(3)
Computed, not measured: a geometry-optimized ReRuRh structure at the PBE level of DFT.

- polymorph energy (0 for the lowest one) (meV per atom) = 274.6
- ρ (g cm⁻³) = 14.7
- energy of formation (meV per atom) = 147

```
ReRuRh
1.0
-4.103 -0.478 1.249
1.440 -2.052 -3.513
0.720 -2.142 1.546
Re Rh Ru
1 1 1
direct
0.000 0.000 0.833
0.667 0.333 0.333
0.333 0.667 0.833
```



(4)
Computed, not measured: a geometry-optimized ReRuRh structure at the PBE level of DFT.

- polymorph energy (0 for the lowest one) (meV per atom) = 810.9
- ρ (g cm⁻³) = 12.4
- energy of formation (meV per atom) = 683

```
ReRuRh
1.0
-1.464 -2.092 -3.510
4.246 -0.322 -1.578
0.583 -4.619 2.510
Re Ru Rh
2 2 2
direct
0.000 0.000 0.000
0.000 0.000 0.500
0.500 0.884 0.250
0.500 0.116 0.750
0.000 0.493 0.250
0.000 0.507 0.750
```



(5)
Computed, not measured: a geometry-optimized ReRu2Rh structure at the PBE level of DFT.

- polymorph energy (0 for the lowest one) (meV per atom) = 141.7
- ρ (g cm⁻³) = 14.3
- energy of formation (meV per atom) = 56

```
ReRu2Rh
1.0
9.021 -0.005 -0.003
8.610 2.692 -0.003
8.610 1.312 2.350
Re Rh Ru
1 1 2
direct
0.250 0.250 0.250
0.750 0.750 0.750
0.000 0.000 0.000
0.500 0.500 0.500
```



(6)
Computed, not measured: a geometry-optimized ReRu3Rh structure at the PBE level of DFT.

- polymorph energy (0 for the lowest one) (meV per atom) = 315.9
- ρ (g cm⁻³) = 9.9
- energy of formation (meV per atom) = 1816

```
ReRu3Rh
1.0
-3.356 -2.858 1.424
2.436 -3.627 -1.538
2.063 -0.365 4.130
Re Rh Ru
1 1 3
direct
0.000 0.000 0.000
0.500 0.500 0.500
0.000 0.500 0.000
0.000 0.000 0.500
0.500 0.000 0.000
```



Record-wise DOS(E_F) values, in states/eV per atom: 0.84 1.18 1.31 1.13 1.10 1.37